Below is a relaxed structure of PaHgWO6, with properties calculated at the PBE with a Hubbard U level.

Its calculated total energy is -66.45 eV per formula unit.

abc: 7.420 8.154 11.080
angles: 90.00 90.00 90.00
Space group Imma (No. 74)
Inequivalent atoms, fractional coordinates:
Pa1 0.000 0.000 0.000
Hg1 0.000 0.250 0.293
W1 0.250 0.250 0.750
O1 0.000 0.250 0.081
O2 0.000 0.250 0.700
O3 0.195 0.081 0.868